A plane-wave DFT calculation with GGA-PBE was carried out for a relaxed CaTbHg2 crystal.

Structure (POSCAR):
```
CaTbHg2
1.0
-2.400 0.473 -3.076
-1.457 -3.143 -1.857
-8.239 -0.875 3.784
Hg Tb Ca
2 1 1
Direct
0.086 0.086 0.743
0.248 0.248 0.256
0.500 0.500 0.500
0.666 0.666 0.001
```

Output
* density: 8.4 Mg/m³
* crystal system: trigonal
* volume: 118.0 Å³ per cell
* Fermi-level density of states: 2.937 states/eV per cell
* ΔE_f: -0.3680 eV per atom
* space-group type: R3m (160)
* calculated total energy: -0.1600 Ry/atom